a:
This record from Alexandria via LeMat-Bulk describes a geometry-optimized LiInHgPb structure. The functional is GGA-PBE.

```
LiInHgPb
1.0
7.332 0.000 0.000
0.000 7.332 0.000
0.000 0.000 7.332
Li In Hg Pb
4 4 4 4
Cartesian
0.000 0.000 0.000
0.000 3.666 3.666
3.666 0.000 3.666
3.666 3.666 0.000
0.000 0.000 3.666
0.000 3.666 0.000
3.666 0.000 0.000
3.666 3.666 3.666
1.833 1.833 1.833
1.833 5.499 5.499
5.499 1.833 5.499
5.499 5.499 1.833
1.833 1.833 5.499
1.833 5.499 1.833
5.499 1.833 1.833
5.499 5.499 5.499
```

Total magnetization: 0.000 μB per atom
Symmetry: F-43m, No. 216
D(E_F): 1.6 states/eV/f.u.

b:
This record from Alexandria via LeMat-Bulk describes a geometry-optimized LiInHgPb structure. The functional is GGA-PBE.

```
LiInHgPb
1.0
3.550 0.000 0.000
0.000 3.337 0.000
0.000 0.000 16.513
Li In Hg Pb
2 2 2 2
Cartesian
0.000 0.000 0.000
0.000 1.668 8.257
0.000 0.000 3.577
0.000 1.668 11.834
1.775 0.000 9.728
1.775 1.668 1.471
1.775 0.000 6.308
1.775 1.668 14.565
```

Total magnetization: 0.000 μB per atom
Symmetry: Amm2, No. 38
D(E_F): 1.6 states/eV/f.u.

Short version: b is the most stable of them.

a:
This record from Alexandria via LeMat-Bulk describes a geometry-optimized SrLiInHg2 structure. The functional is GGA-PBE.

```
SrLiInHg2
1.0
5.105 0.000 0.000
0.000 5.105 0.000
0.000 0.000 5.127
Sr Li In Hg
1 1 1 2
Cartesian
0.000 0.000 0.000
2.552 2.552 2.564
2.552 2.552 0.000
0.000 2.552 2.564
2.552 0.000 2.564
```

Total magnetization: 0.000 μB per atom
Symmetry: P4/mmm, No. 123
D(E_F): 2.4 states/eV/f.u.

b:
This record from Alexandria via LeMat-Bulk describes a geometry-optimized SrLiInHg2 structure. The functional is GGA-PBE.

```
SrLiInHg2
1.0
5.972 0.000 0.000
0.000 7.046 0.000
0.000 0.000 6.257
Sr Li In Hg
2 2 2 4
Cartesian
1.493 0.000 1.518
4.479 0.000 4.739
0.000 3.523 0.000
2.986 3.523 0.000
1.493 3.523 2.445
4.479 3.523 3.812
1.493 1.607 4.747
1.493 5.439 4.747
4.479 1.607 1.510
4.479 5.439 1.510
```

Total magnetization: 0.000 μB per atom
Symmetry: Pmma, No. 51
D(E_F): 1.5 states/eV/f.u.

Short version: b is the most stable of them.

a:
This record from Alexandria via LeMat-Bulk describes a geometry-optimized LiTlInHg structure. The functional is GGA-PBE.

```
LiTlInHg
1.0
3.381 0.000 0.000
0.000 3.381 0.000
0.000 0.000 8.363
Li Tl In Hg
1 1 1 1
Cartesian
0.000 0.000 0.000
0.000 0.000 4.329
1.690 1.690 1.824
1.690 1.690 6.846
```

Total magnetization: 0.000 μB per atom
Symmetry: P4mm, No. 99
D(E_F): 1.3 states/eV/f.u.

b:
This record from Alexandria via LeMat-Bulk describes a geometry-optimized LiTlInHg structure. The functional is GGA-PBE.

```
LiTlInHg
1.0
7.296 0.000 0.000
0.000 7.296 0.000
0.000 0.000 7.296
Li Tl In Hg
4 4 4 4
Cartesian
0.000 0.000 0.000
0.000 3.648 3.648
3.648 0.000 3.648
3.648 3.648 0.000
1.824 1.824 1.824
1.824 5.472 5.472
5.472 1.824 5.472
5.472 5.472 1.824
0.000 0.000 3.648
0.000 3.648 0.000
3.648 0.000 0.000
3.648 3.648 3.648
1.824 1.824 5.472
1.824 5.472 1.824
5.472 1.824 1.824
5.472 5.472 5.472
```

Total magnetization: 0.000 μB per atom
Symmetry: F-43m, No. 216
D(E_F): 0.8 states/eV/f.u.

Short version: a is the most stable of them.